A plane-wave DFT calculation with PBE was carried out for a relaxed AlSi2 crystal.

```
AlSi2
1.0
-1.794 6.353 -3.525
-0.945 -6.581 -3.435
-2.655 -0.167 1.050
Si Al
6 3
Direct
0.000 0.616 0.500
0.000 0.297 0.000
0.703 0.703 0.000
0.616 0.000 0.500
0.297 0.000 0.000
0.384 0.384 0.500
0.000 0.000 0.500
0.667 0.333 0.000
0.333 0.667 0.000
```

=====

A plane-wave DFT calculation with PBE was carried out for a relaxed AlSi crystal.

```
AlSi
1.0
-0.884 -1.083 -4.838
-2.308 -3.844 1.282
-4.614 3.484 2.140
Si Al
4 4
Direct
0.881 0.500 0.287
0.119 0.000 0.213
0.119 0.500 0.713
0.881 0.000 0.787
0.341 0.500 0.159
0.341 0.000 0.659
0.659 0.500 0.841
0.659 0.000 0.341
```

=====

A plane-wave DFT calculation with PBE was carried out for a relaxed AlSi4 crystal.

```
AlSi4
1.0
4.699 0.000 0.000
0.000 4.699 0.000
0.000 0.000 4.699
Al Si
1 4
Direct
0.500 0.500 0.500
0.000 0.500 0.500
0.000 0.000 0.000
0.500 0.000 0.500
0.500 0.500 0.000
```

=====

Number 1: raw formation energy 351 meV per atom. Number 2: raw formation energy 204 meV per atom. Number 3: raw formation energy 1121 meV per atom.